# 1
DFT (PBE) results for crystalline HfTaS3 at its relaxed geometry.

Properties
Energy above the most stable polymorph in this dataset (meV per atom): 0
E_form (uncorrected) (eV per atom): -1.164

a = 10.135 Å, b = 10.135 Å, c = 5.866 Å
α = 90.00°, β = 90.00°, γ = 160.74°
Sites, in units of the cell vectors:
Hf 0.162 0.838 0.500
Hf 0.838 0.162 0.000
Ta 0.334 0.666 0.501
Ta 0.666 0.334 0.001
S 0.088 0.912 0.844
S 0.250 0.750 0.170
S 0.414 0.586 0.826
S 0.586 0.414 0.326
S 0.750 0.250 0.670
S 0.912 0.088 0.344

***

# 2
DFT (PBE) results for crystalline MgRe2Mo at its relaxed geometry.

Properties
Energy of formation (eV per atom): 0.32

a = 3.165 Å, b = 3.165 Å, c = 6.314 Å
α = 90.00°, β = 90.00°, γ = 90.00°
Sites, in units of the cell vectors:
Mg 0.000 0.000 0.000
Re 0.500 0.500 0.267
Re 0.500 0.500 0.733
Mo 0.000 0.000 0.500

***

For the records above, the corresponding spin magnetization values read 0.00; 0.00 μB per atom.
For the records above, the corresponding calculated total energy values read -8.002; -9.014 eV per atom.
For the records above, the corresponding ρ values read 7.61; 12.94 Mg/m³.